Entry 1:
KTbEuGeO6: optimized geometry, PBE-GGA.

Structure (POSCAR):
```
KTbEuGeO6
1.0
0.000 4.116 4.116
4.116 0.000 4.116
4.116 4.116 0.000
Eu O K Tb Ge
1 6 1 1 1
Direct
0.250 0.250 0.250 Eu
0.770 0.230 0.770 O
0.230 0.770 0.770 O
0.230 0.230 0.770 O
0.770 0.230 0.230 O
0.230 0.770 0.230 O
0.770 0.770 0.230 O
0.750 0.750 0.750 K
0.500 0.500 0.500 Tb
0.000 0.000 0.000 Ge
```

Summary:
Uncorrected formation energy: -21.47 eV per formula unit
Theoretical density: 6.17 g cm⁻³
VASP energy: -7.184 eV per atom

=====

Entry 2:
Ce3Ta5H12: optimized geometry, PBE-GGA.

Structure (POSCAR):
```
Ce3Ta5H12
1.0
-8.038 -4.846 -4.504
7.917 -6.674 1.072
-2.872 3.510 9.370
H Ce Ta
48 12 20
Direct
0.709 0.583 0.166 H
0.543 0.334 0.916 H
0.126 0.417 0.084 H
0.166 0.084 0.957 H
0.126 0.709 0.543 H
0.209 0.666 0.083 H
0.626 0.043 0.209 H
0.374 0.957 0.791 H
0.417 0.291 0.334 H
0.916 0.834 0.543 H
0.334 0.791 0.417 H
0.457 0.666 0.084 H
0.416 0.043 0.334 H
0.083 0.166 0.209 H
0.583 0.709 0.666 H
0.957 0.584 0.166 H
0.417 0.126 0.584 H
0.291 0.417 0.834 H
0.543 0.209 0.126 H
0.957 0.374 0.291 H
0.043 0.416 0.834 H
0.584 0.957 0.666 H
0.834 0.916 0.043 H
0.666 0.457 0.584 H
0.209 0.543 0.626 H
0.457 0.791 0.874 H
0.917 0.834 0.791 H
0.874 0.583 0.916 H
0.084 0.166 0.457 H
0.583 0.874 0.416 H
0.917 0.084 0.626 H
0.084 0.917 0.126 H
0.874 0.291 0.457 H
0.666 0.209 0.583 H
0.709 0.126 0.043 H
0.043 0.626 0.709 H
0.834 0.917 0.291 H
0.916 0.083 0.874 H
0.291 0.874 0.957 H
0.626 0.584 0.917 H
0.416 0.374 0.583 H
0.166 0.083 0.709 H
0.791 0.457 0.374 H
0.791 0.334 0.917 H
0.083 0.916 0.374 H
0.374 0.416 0.083 H
0.584 0.626 0.417 H
0.334 0.543 0.416 H
0.750 0.875 0.625 Ce
0.875 0.125 0.250 Ce
0.625 0.250 0.375 Ce
0.375 0.625 0.250 Ce
0.625 0.375 0.750 Ce
0.125 0.250 0.875 Ce
0.750 0.375 0.125 Ce
0.375 0.750 0.625 Ce
0.250 0.125 0.375 Ce
0.875 0.750 0.125 Ce
0.250 0.625 0.875 Ce
0.125 0.875 0.750 Ce
0.000 0.000 0.000 Ta
0.000 0.000 0.500 Ta
0.250 0.375 0.625 Ta
0.625 0.750 0.875 Ta
0.000 0.500 0.500 Ta
0.125 0.750 0.375 Ta
0.625 0.875 0.250 Ta
0.500 0.000 0.000 Ta
0.875 0.250 0.625 Ta
0.500 0.000 0.500 Ta
0.875 0.625 0.750 Ta
0.500 0.500 0.000 Ta
0.750 0.125 0.875 Ta
0.500 0.500 0.500 Ta
0.750 0.625 0.375 Ta
0.125 0.375 0.250 Ta
0.250 0.875 0.125 Ta
0.375 0.125 0.750 Ta
0.375 0.250 0.125 Ta
0.000 0.500 0.000 Ta
```

Summary:
Theoretical density: 10.23 g cm⁻³
VASP energy: -6.038 eV per atom

=====

Entry 3:
LiNdZn2: optimized geometry, PBE-GGA.

Structure (POSCAR):
```
LiNdZn2
1.0
3.451 0.000 0.000
0.000 5.056 0.000
0.000 0.000 5.056
Zn Nd Li
2 1 1
Direct
0.000 0.500 0.000 Zn
0.000 0.000 0.500 Zn
0.500 0.500 0.500 Nd
0.500 0.000 0.000 Li
```

Summary:
Energy above the lowest structure with this stoichiometry: 11.25 kJ per mole of atoms
ΔH_f (0 K): -52 kJ/mol of formula units
Theoretical density: 5.31 g cm⁻³
VASP energy: -2.443 eV per atom

=====

Entry 4:
Ac6Sn3Au: optimized geometry, PBE-GGA.

Structure (POSCAR):
```
Ac6Sn3Au
1.0
-1.202 -5.262 -5.812
8.248 -5.390 3.174
-8.015 -3.946 5.230
Ac Sn Au
12 6 2
Direct
0.657 0.285 0.360 Ac
0.264 0.993 0.007 Ac
0.197 0.431 0.900 Ac
0.764 0.007 0.993 Ac
0.197 0.100 0.569 Ac
0.667 0.249 0.751 Ac
0.157 0.360 0.285 Ac
0.697 0.569 0.100 Ac
0.167 0.751 0.249 Ac
0.157 0.715 0.640 Ac
0.697 0.900 0.431 Ac
0.657 0.640 0.715 Ac
0.985 0.715 0.937 Sn
0.861 0.593 0.407 Sn
0.361 0.407 0.593 Sn
0.485 0.937 0.715 Sn
0.985 0.063 0.285 Sn
0.485 0.285 0.063 Sn
0.017 0.152 0.848 Au
0.517 0.848 0.152 Au
```

Summary:
ΔH_f (0 K): -443 kJ/mol of formula units
Theoretical density: 7.76 g cm⁻³
VASP energy: -4.453 eV per atom

=====

Entry 5:
TlIrRh2: optimized geometry, PBE-GGA.

Structure (POSCAR):
```
TlIrRh2
1.0
-2.301 0.014 1.756
1.168 -2.149 1.547
3.529 5.216 4.581
Ir Rh Tl
1 2 1
Direct
0.500 0.500 0.777 Ir
0.000 0.000 0.999 Rh
0.500 0.500 0.229 Rh
0.000 0.000 0.496 Tl
```

Summary:
Energy above the lowest structure with this stoichiometry: 9.77 kJ per mole of atoms
ΔH_f (0 K): 116 kJ/mol of formula units
Theoretical density: 15.33 g cm⁻³
VASP energy: -6.182 eV per atom

=====

Entry 6:
LiNb3Pb: optimized geometry, PBE-GGA.

Structure (POSCAR):
```
LiNb3Pb
1.0
-1.136 3.276 2.901
-4.149 -1.758 0.360
1.389 -2.572 3.448
Nb Li Pb
3 1 1
Direct
0.000 0.000 0.500 Nb
0.000 0.500 0.000 Nb
0.500 0.000 0.000 Nb
0.000 0.000 0.000 Li
0.500 0.500 0.500 Pb
```

Summary:
Energy above the lowest structure with this stoichiometry: 0.00 kJ per mole of atoms
ΔH_f (0 K): 414 kJ/mol of formula units
Theoretical density: 8.86 g cm⁻³
VASP energy: -6.308 eV per atom

=====

Entry 7:
Sc3TlO: optimized geometry, PBE-GGA.

Structure (POSCAR):
```
Sc3TlO
1.0
13.307 0.000 -1.017
5.730 5.025 -3.711
-5.730 5.025 3.711
Sc O Tl
12 4 4
Direct
0.527 0.070 0.835 Sc
0.027 0.665 0.430 Sc
0.132 0.902 0.839 Sc
0.861 0.791 0.771 Sc
0.139 0.209 0.229 Sc
0.639 0.271 0.291 Sc
0.361 0.729 0.709 Sc
0.368 0.339 0.402 Sc
0.973 0.335 0.570 Sc
0.868 0.098 0.161 Sc
0.473 0.930 0.165 Sc
0.632 0.661 0.598 Sc
0.251 0.333 0.471 O
0.249 0.971 0.833 O
0.749 0.667 0.529 O
0.751 0.029 0.167 O
0.750 0.584 0.084 Tl
0.250 0.416 0.916 Tl
0.250 0.757 0.257 Tl
0.750 0.243 0.743 Tl
```

Summary:
Uncorrected formation energy: -6.03 eV per formula unit
Theoretical density: 5.39 g cm⁻³
VASP energy: -6.469 eV per atom

=====

Entry 8:
MnCdHgSe2: optimized geometry, PBE-GGA.

Structure (POSCAR):
```
MnCdHgSe2
1.0
-0.203 -4.596 0.175
3.540 0.003 4.179
-3.507 0.268 2.971
Hg Cd Se Mn
1 1 2 1
Direct
0.500 0.500 0.500 Hg
0.000 0.500 0.000 Cd
0.000 0.000 0.500 Se
0.500 0.000 0.000 Se
0.000 0.000 0.000 Mn
```

Summary:
Uncorrected formation energy: 0.83 eV per formula unit
Theoretical density: 7.52 g cm⁻³
VASP energy: -3.304 eV per atom

=====

Entry 9:
DyNbGe2: optimized geometry, PBE-GGA.

Structure (POSCAR):
```
DyNbGe2
1.0
-3.270 1.984 0.613
-2.318 0.881 -2.976
-5.078 -4.611 0.070
Dy Nb Ge
1 1 2
Direct
0.500 0.500 0.500 Dy
0.000 0.000 0.000 Nb
0.741 0.741 0.777 Ge
0.259 0.259 0.223 Ge
```

Summary:
ΔH_f (0 K): -197 kJ/mol of formula units
Theoretical density: 7.90 g cm⁻³
VASP energy: -6.486 eV per atom

=====

Entry 10:
CdIn2Hg2: optimized geometry, PBE-GGA.

Structure (POSCAR):
```
CdIn2Hg2
1.0
5.069 0.000 0.000
0.000 6.228 0.000
-2.534 0.000 8.329
In Cd Hg
4 2 4
Direct
0.001 0.242 0.002 In
0.799 0.427 0.599 In
0.201 0.927 0.401 In
0.999 0.742 0.998 In
0.403 0.020 0.805 Cd
0.597 0.520 0.195 Cd
0.192 0.428 0.383 Hg
0.405 0.517 0.810 Hg
0.595 0.017 0.190 Hg
0.808 0.928 0.617 Hg
```

Summary:
Energy above the lowest structure with this stoichiometry: 0.00 kJ per mole of atoms
ΔH_f (0 K): 7 kJ/mol of formula units
Theoretical density: 9.39 g cm⁻³
VASP energy: -1.384 eV per atom

=====

Entry 11:
Ce2NdAu6: optimized geometry, PBE-GGA.

Structure (POSCAR):
```
Ce2NdAu6
1.0
3.572 0.000 0.984
0.705 7.345 4.416
-0.433 0.838 8.547
Au Ce Nd
6 2 1
Direct
0.324 0.992 0.361 Au
0.324 0.361 0.992 Au
0.676 0.639 0.008 Au
0.500 0.683 0.317 Au
0.500 0.317 0.683 Au
0.676 0.008 0.639 Au
0.141 0.359 0.359 Ce
0.859 0.641 0.641 Ce
0.000 0.000 0.000 Nd
```

Summary:
ΔH_f (0 K): -558 kJ/mol of formula units
Theoretical density: 12.42 g cm⁻³
VASP energy: -4.676 eV per atom

=====

Entry 12:
ZrZn2: optimized geometry, PBE-GGA.

Structure (POSCAR):
```
ZrZn2
1.0
0.327 -5.388 -1.589
2.936 -3.948 -2.730
3.628 -3.101 4.385
Zn Zr
4 2
Direct
0.833 0.833 0.580 Zn
0.493 0.493 0.713 Zn
0.167 0.167 0.420 Zn
0.507 0.507 0.287 Zn
0.155 0.155 0.920 Zr
0.845 0.845 0.080 Zr
```

Summary:
ΔH_f (0 K): -36 kJ/mol of formula units
Theoretical density: 6.96 g cm⁻³
VASP energy: -3.824 eV per atom

=====

Entry 13:
Tb3DyY3: optimized geometry, PBE-GGA.

Structure (POSCAR):
```
Tb3DyY3
1.0
5.897 0.000 1.895
2.644 5.271 1.895
-1.424 -0.879 14.553
Tb Dy Y
6 2 6
Direct
0.133 0.464 0.602 Tb
0.801 0.133 0.602 Tb
0.867 0.536 0.398 Tb
0.464 0.801 0.602 Tb
0.536 0.199 0.398 Tb
0.199 0.867 0.398 Tb
0.667 0.667 0.000 Dy
0.333 0.333 0.000 Dy
0.400 0.066 0.801 Y
0.733 0.400 0.801 Y
0.066 0.733 0.801 Y
0.934 0.267 0.199 Y
0.267 0.600 0.199 Y
0.600 0.934 0.199 Y
```

Summary:
Energy above the lowest structure with this stoichiometry: 13.38 kJ per mole of atoms
ΔH_f (0 K): 100 kJ/mol of formula units
Theoretical density: 6.38 g cm⁻³
VASP energy: -5.265 eV per atom

=====

Entry 14:
InCu2Tc: optimized geometry, PBE-GGA.

Structure (POSCAR):
```
InCu2Tc
1.0
2.770 0.018 0.000
-0.018 2.770 0.000
0.000 0.000 7.886
Tc Cu In
1 2 1
Direct
0.500 0.500 0.750 Tc
0.000 0.000 0.983 Cu
0.000 0.000 0.517 Cu
0.500 0.500 0.250 In
```

Summary:
ΔH_f (0 K): 124 kJ/mol of formula units
Theoretical density: 9.33 g cm⁻³
VASP energy: -5.002 eV per atom

=====

Entry 15:
Bi3Pb3I: optimized geometry, PBE-GGA.

Structure (POSCAR):
```
Bi3Pb3I
1.0
-6.336 -3.577 4.782
2.218 -7.883 -2.958
5.545 -0.934 6.648
Pb I Bi
6 2 6
Direct
0.000 0.250 0.500 Pb
0.250 0.500 0.000 Pb
0.500 0.000 0.250 Pb
0.000 0.750 0.500 Pb
0.500 0.000 0.750 Pb
0.750 0.500 0.000 Pb
0.500 0.500 0.500 I
0.000 0.000 0.000 I
0.500 0.750 0.000 Bi
0.250 0.000 0.500 Bi
0.000 0.500 0.750 Bi
0.500 0.250 0.000 Bi
0.750 0.000 0.500 Bi
0.000 0.500 0.250 Bi
```

Summary:
Uncorrected formation energy: 1.35 eV per formula unit
Theoretical density: 6.92 g cm⁻³
VASP energy: -3.281 eV per atom

=====

Entry 16:
Li2AgGe2: optimized geometry, PBE-GGA.

Structure (POSCAR):
```
Li2AgGe2
1.0
-3.858 2.039 -5.988
-0.086 -7.030 -2.339
-2.626 -0.477 1.530
Li Ge Ag
4 4 2
Direct
0.177 0.323 0.000 Li
0.323 0.823 0.000 Li
0.677 0.177 0.000 Li
0.823 0.677 0.000 Li
0.878 0.378 0.500 Ge
0.122 0.622 0.500 Ge
0.378 0.122 0.500 Ge
0.622 0.878 0.500 Ge
0.500 0.500 0.000 Ag
0.000 0.000 0.000 Ag
```

Summary:
Energy above the lowest structure with this stoichiometry: 9.28 kJ per mole of atoms
ΔH_f (0 K): -38 kJ/mol of formula units
Theoretical density: 5.25 g cm⁻³
VASP energy: -3.261 eV per atom

=====

Entry 17:
MgOsPb2: optimized geometry, PBE-GGA.

Structure (POSCAR):
```
MgOsPb2
1.0
7.191 0.006 -0.001
5.038 5.131 0.001
-5.740 -3.460 2.606
Pb Os Mg
2 1 1
Direct
0.060 0.060 0.000 Pb
0.756 0.256 0.500 Pb
0.255 0.755 0.500 Os
0.429 0.429 0.000 Mg
```

Summary:
ΔH_f (0 K): 173 kJ/mol of formula units
Theoretical density: 10.87 g cm⁻³
VASP energy: -4.613 eV per atom

=====

Entry 18:
CoRe2Br: optimized geometry, PBE-GGA.

Structure (POSCAR):
```
CoRe2Br
1.0
-1.848 -0.587 2.318
-2.031 -1.348 -1.960
3.243 -6.318 0.985
Br Re Co
1 2 1
Direct
0.000 0.500 0.507 Br
0.000 0.000 0.998 Re
0.500 0.500 0.196 Re
0.500 0.500 0.799 Co
```

Summary:
Uncorrected formation energy: 2.16 eV per formula unit
Energy above the lowest structure with this stoichiometry: 0.00 kJ per mole of atoms
Theoretical density: 12.52 g cm⁻³
VASP energy: -7.879 eV per atom

=====

Entry 19:
KTaSe3: optimized geometry, PBE-GGA.

Structure (POSCAR):
```
KTaSe3
1.0
5.259 0.000 0.000
0.000 5.259 0.000
0.000 0.000 5.259
Se K Ta
3 1 1
Direct
0.500 0.000 0.000 Se
0.000 0.000 0.500 Se
0.000 0.500 0.000 Se
0.000 0.000 0.000 K
0.500 0.500 0.500 Ta
```

Summary:
Uncorrected formation energy: 8.83 eV per formula unit
Energy above the lowest structure with this stoichiometry: 260.19 kJ per mole of atoms
Theoretical density: 5.22 g cm⁻³
VASP energy: -2.915 eV per atom

=====

Entry 20:
Ga4Fe3: optimized geometry, PBE-GGA.

Structure (POSCAR):
```
Ga4Fe3
1.0
5.068 0.003 0.003
2.543 4.368 0.011
2.543 0.008 4.368
Fe Ga
3 4
Direct
0.000 0.000 0.000 Fe
0.750 0.500 0.500 Fe
0.250 0.500 0.500 Fe
0.291 0.000 0.418 Ga
0.291 0.418 0.000 Ga
0.709 0.000 0.582 Ga
0.709 0.582 0.000 Ga
```

Summary:
ΔH_f (0 K): -1 kJ/mol of formula units
Theoretical density: 7.67 g cm⁻³
VASP energy: -5.358 eV per atom

=====

Entry 21:
MnZn2Co: optimized geometry, PBE-GGA.

Structure (POSCAR):
```
MnZn2Co
1.0
-4.648 6.418 -3.559
-6.615 5.084 -2.418
-5.240 6.852 -1.027
Co Zn Mn
1 2 1
Direct
0.250 0.250 0.250 Co
0.998 0.998 0.998 Zn
0.502 0.502 0.502 Zn
0.750 0.750 0.750 Mn
```

Summary:
Energy above the lowest structure with this stoichiometry: 13.81 kJ per mole of atoms
ΔH_f (0 K): 39 kJ/mol of formula units
Theoretical density: 7.90 g cm⁻³
VASP energy: -4.606 eV per atom